Compound: RbLa2V
Source: Alexandria
Functional: GGA-PBE
Structure: relaxed

The structure belongs to space group I-42d (No. 122); the cell edges are 8.197, 8.197 and 10.041 Å and the angles 90.00°, 90.00° and 90.00°. The asymmetric unit holds Rb at (0.000, 0.000, 0.000), La at (0.081, 0.250, 0.625) and V at (0.000, 0.000, 0.500).

The uncorrected energy is -67.21 eV per cell.

Compound: RbLaW2
Source: Alexandria
Functional: GGA-PBE
Structure: relaxed

The structure belongs to space group Fm-3m (No. 225); the cell edges are 7.483, 7.483 and 7.483 Å and the angles 90.00°, 90.00° and 90.00°. The asymmetric unit holds Rb at (0.000, 0.000, 0.000), La at (0.000, 0.000, 0.500) and W at (0.250, 0.250, 0.250).

The excess energy over the best structure of this formula in the dataset comes out at 500 meV/atom.